First-principles (GGA-PBE) data for an optimized crystal structure of K3La2NdSe6, as listed in the Alexandria database.

Unit cell a=7.6438 b=13.2401 c=8.0988 alpha=90.00 beta=108.34 gamma=90.00
With the nearest neighbours (Å) after each atom.
Space group C2/m (No. 12)
Asymmetric unit:
K (0.0000, 0.0000, 0.0000)  6 Se 3.37-3.40
K (0.0000, 0.3331, 0.0000)  6 Se 3.37-3.40
La (0.0000, 0.1666, 0.5000)  6 Se 3.03
Nd (0.0000, 0.5000, 0.5000)  6 Se 3.00
Se (0.2354, 0.3351, 0.7115)  1 Nd 3.00, 2 La 3.03
Se (0.2407, 0.0000, 0.7113)  1 Nd 3.00, 2 La 3.03

The formation energy without anion corrections is -1.81 eV/atom. Its volume is 778.0 Å³/cell.